{"formula": "Pm2Tm5Sc", "functional": "PBE", "state": "relaxed", "magnetic_moment_mub_per_fu": 0.0, "dos_ef_per_ev_fu": 14.47, "formation_energy_ev_per_fu": 1.10, "crystal_system": "orthorhombic", "space_group": "Cmcm (63)", "e_tot_ev_per_cell": -74.186, "lattice": [[2.741, -5.881, 0.000], [2.741, 5.881, 0.000], [0.000, 0.000, 15.430]], "species": ["Pm", "Pm", "Pm", "Pm", "Tm", "Tm", "Tm", "Tm", "Tm", "Tm", "Tm", "Tm", "Tm", "Tm", "Sc", "Sc"], "frac_coords": [[0.219, 0.781, 0.631], [0.219, 0.781, 0.869], [0.781, 0.219, 0.131], [0.781, 0.219, 0.369], [0.082, 0.918, 0.093], [0.082, 0.918, 0.407], [0.383, 0.617, 0.051], [0.383, 0.617, 0.449], [0.462, 0.538, 0.750], [0.538, 0.462, 0.250], [0.617, 0.383, 0.551], [0.617, 0.383, 0.949], [0.918, 0.082, 0.593], [0.918, 0.082, 0.907], [0.267, 0.733, 0.250], [0.733, 0.267, 0.750]]}